(1)
Computed, not measured: crystalline CaY4Sb5 at its relaxed geometry at the PBE level of DFT.

Cell lengths 11.728, 11.728, 11.728 Å; angles 158.35, 149.12, 38.03 degrees
Fractional positions:
Ca  0.000  0.000  0.000
Y  0.201  0.201  0.000
Y  0.401  0.401  0.000
Y  0.599  0.599  0.000
Y  0.799  0.799  0.000
Sb  0.104  0.604  0.500
Sb  0.301  0.801  0.500
Sb  0.500  0.000  0.500
Sb  0.699  0.199  0.500
Sb  0.896  0.396  0.500

Calculated values
The mass density comes out at 5469 kg/m³. Its formation energy without anion corrections is -10.83 eV per formula unit.

***

(2)
Computed, not measured: crystalline Pm6TlGe2Br3 at its relaxed geometry at the PBE level of DFT.

Cell lengths 9.761, 9.761, 8.818 Å; angles 102.16, 102.16, 25.40 degrees
Fractional positions:
Pm  0.011  0.011  0.256
Pm  0.324  0.324  0.431
Pm  0.334  0.334  0.884
Pm  0.666  0.666  0.116
Pm  0.676  0.676  0.569
Pm  0.989  0.989  0.744
Tl  0.500  0.500  0.000
Ge  0.168  0.168  0.340
Ge  0.832  0.832  0.660
Br  0.167  0.167  0.836
Br  0.500  0.500  0.500
Br  0.833  0.833  0.164

Calculated values
The mass density comes out at 6886 kg/m³. Its formation energy without anion corrections is -11.97 eV per formula unit.

***

(3)
Computed, not measured: crystalline InSiBiH2 at its relaxed geometry at the PBE level of DFT.

Cell lengths 4.129, 4.129, 5.804 Å; angles 90.00, 90.00, 90.00 degrees
Fractional positions:
In  0.000  0.000  0.000
Si  0.500  0.500  0.000
Bi  0.500  0.500  0.500
H  0.000  0.500  0.500
H  0.500  0.000  0.500

Calculated values
The mass density comes out at 5938 kg/m³. Its total energy is -0.1202 Ha/atom.

***

Number 1: V 30.5 A^3/atom, M_tot 0.00 μB/atom, density of states at the Fermi level 3.22 states/eV per cell. Number 2: V 29.3 A^3/atom, M_tot 0.00 μB/atom, density of states at the Fermi level 6.03 states/eV per cell. Number 3: V 19.8 A^3/atom, M_tot 0.00 μB/atom, density of states at the Fermi level 1.29 states/eV per cell.